Computed, not measured: crystalline AlCo2HRh at its relaxed geometry at the PBE level of DFT.

Computed properties:
Total energy   -30.0 eV for the cell shown
Theoretical density   8161 kg/m³
Energy above the lowest structure with this stoichiometry   0 meV per atom
Calculated volume   10.123 Å³ per atom

```
data_AlCo2HRh
_space_group_name_H-M_alt 'P 4/m m m'
_space_group_IT_number 123
_space_group_name_Hall '-P 4 2'
_cell_length_a 3.622
_cell_length_b 3.622
_cell_length_c 3.859
_cell_angle_alpha 90.00
_cell_angle_beta 90.00
_cell_angle_gamma 90.00
loop_
_atom_site_label
_atom_site_type_symbol
_atom_site_fract_x
_atom_site_fract_y
_atom_site_fract_z
Al1 Al 0.000 0.000 0.000
Co1 Co 0.000 0.500 0.500
H1 H 0.500 0.500 0.500
Rh1 Rh 0.500 0.500 0.000
```

***

Computed, not measured: crystalline AlCoHRh2 at its relaxed geometry at the PBE level of DFT.

Computed properties:
Total energy   -30.7 eV for the cell shown
Theoretical density   8902 kg/m³
Calculated volume   10.921 Å³ per atom

```
data_AlCoHRh2
_space_group_name_H-M_alt 'P 4/m m m'
_space_group_IT_number 123
_space_group_name_Hall '-P 4 2'
_cell_length_a 3.929
_cell_length_b 3.929
_cell_length_c 3.538
_cell_angle_alpha 90.00
_cell_angle_beta 90.00
_cell_angle_gamma 90.00
loop_
_atom_site_label
_atom_site_type_symbol
_atom_site_fract_x
_atom_site_fract_y
_atom_site_fract_z
Al1 Al 0.000 0.000 0.000
Co1 Co 0.500 0.500 0.000
H1 H 0.500 0.500 0.500
Rh1 Rh 0.000 0.500 0.500
```

***

Computed, not measured: crystalline AlCo2HRh at its relaxed geometry at the PBE level of DFT.

Computed properties:
Total energy   -29.6 eV for the cell shown
Theoretical density   8199 kg/m³
Energy above the lowest structure with this stoichiometry   81 meV per atom
Calculated volume   10.077 Å³ per atom

```
data_AlCo2HRh
_space_group_name_H-M_alt 'P 4/m m m'
_space_group_IT_number 123
_space_group_name_Hall '-P 4 2'
_cell_length_a 3.559
_cell_length_b 3.559
_cell_length_c 3.978
_cell_angle_alpha 90.00
_cell_angle_beta 90.00
_cell_angle_gamma 90.00
loop_
_atom_site_label
_atom_site_type_symbol
_atom_site_fract_x
_atom_site_fract_y
_atom_site_fract_z
Al1 Al 0.000 0.000 0.000
Co1 Co 0.000 0.500 0.500
H1 H 0.000 0.000 0.500
Rh1 Rh 0.500 0.500 0.000
```